Below is a geometry-optimized CrReO2F structure, with properties calculated at the PBE with a Hubbard U level.

Unit cell a=3.8258 b=3.8258 c=4.5453 alpha=90.00 beta=90.00 gamma=90.00
Space group P4/mmm (No. 123)
One atom of each set of equivalent atoms:
Cr1 0.0000 0.0000 0.0000 x1
Re1 0.5000 0.5000 0.5000 x1
O1 0.0000 0.5000 0.5000 x2
F1 0.5000 0.5000 0.0000 x1

total DFT energy (no corrections)	-7.371	eV per atom
crystal system	tetragonal
total magnetic moment	1.00	μB/atom